HoCo2Sn3: optimized geometry, PBE-GGA.

- energy relative to the elements (eV/atom) = -0.067
- raw total energy (eV per atom) = -5.20
- calculated density (kg/m3) = 8692
- crystal system = trigonal

CIF file:
```
data_HoCo2Sn3
_chemical_formula_sum 'Ho2 Co4 Sn6'
_space_group_name_H-M_alt 'P 1'
_space_group_IT_number 1
_cell_length_a 6.553
_cell_length_b 6.553
_cell_length_c 6.565
_cell_angle_alpha 90.00
_cell_angle_beta 90.00
_cell_angle_gamma 120.00
loop_
_space_group_symop_operation_xyz
'x,y,z'
loop_
_atom_site_label
_atom_site_type_symbol
_atom_site_fract_x
_atom_site_fract_y
_atom_site_fract_z
_atom_site_occupancy
Ho1 Ho 0.333 0.667 0.313 1
Ho2 Ho 0.667 0.333 0.687 1
Co1 Co 0.000 0.000 0.000 1
Co2 Co 0.000 0.500 0.000 1
Co3 Co 0.500 0.000 0.000 1
Co4 Co 0.500 0.500 0.000 1
Sn1 Sn 0.169 0.337 0.726 1
Sn2 Sn 0.169 0.831 0.726 1
Sn3 Sn 0.337 0.169 0.274 1
Sn4 Sn 0.663 0.831 0.726 1
Sn5 Sn 0.831 0.169 0.274 1
Sn6 Sn 0.831 0.663 0.274 1
```